## i
5
Lattice="-2.2603 -0.8425 -4.1732 2.8804 -3.7820 -0.7965 -3.1351 -2.8673 2.2769" Properties=species:S:1:pos:R:3 comment="SrNb3N (PBE, relaxed)" volume_a3_per_atom=22.4 pbc="T T T"
Sr 0.0000 0.0000 0.0000
Nb 1.4402 -1.8910 -0.3983
Nb -1.5675 -1.4337 1.1385
Nb -1.1301 -0.4213 -2.0866
N -1.2575 -3.7459 -1.3464

## ii
5
Lattice="4.4804 0.0000 0.0000 0.0000 4.4804 0.0000 0.0000 0.0000 4.4804" Properties=species:S:1:pos:R:3 comment="SrNb3N (PBE, relaxed)" volume_a3_per_atom=18.0 pbc="T T T"
Sr 2.2402 2.2402 2.2402
Nb 0.0000 2.2402 0.0000
Nb 0.0000 0.0000 2.2402
Nb 2.2402 0.0000 0.0000
N 0.0000 0.0000 0.0000

The most stable arrangement is ii, and the next structure is 3.426 eV/atom less stable.

## i
5
Lattice="-3.9050 1.1285 1.2427 -1.4929 -0.8962 -3.8775 -1.0294 -5.3634 1.6359" Properties=species:S:1:pos:R:3 comment="SrNbTeN2 (PBE, relaxed)" volume_a3_per_atom=20.6 pbc="T T T"
Sr -3.2137 -2.5656 -0.4995
Nb 0.0000 0.0000 0.0000
Te -0.5147 -2.6817 0.8180
N -0.7465 -0.4481 -1.9388
N -1.9525 0.5643 0.6213

## ii
5
Lattice="4.3108 0.0000 0.0000 0.0000 4.3108 0.0000 0.0000 0.0000 6.0641" Properties=species:S:1:pos:R:3 comment="SrNbTeN2 (PBE, relaxed)" volume_a3_per_atom=22.5 pbc="T T T"
Sr 0.0000 0.0000 0.0000
Nb 2.1554 2.1554 3.0320
Te 0.0000 0.0000 3.0320
N 0.0000 2.1554 0.0000
N 2.1554 0.0000 0.0000

The most stable arrangement is i, and the next structure is 2.122 eV/atom less stable.